Record 1
Material: Ce2NdGe2
Method: DFT, PBE
State: relaxed

Calculated values
Symmetry = P4/mbm
Formation energy = -0.651 eV per atom

Structure (CIF):
```
data_Ce2NdGe2
_chemical_formula_sum 'Ce4 Nd2 Ge4'
_space_group_name_H-M_alt 'P 1'
_space_group_IT_number 1
_cell_length_a 7.850
_cell_length_b 7.850
_cell_length_c 4.237
_cell_angle_alpha 90.00
_cell_angle_beta 90.00
_cell_angle_gamma 90.00
loop_
_space_group_symop_operation_xyz
'x,y,z'
loop_
_atom_site_label
_atom_site_type_symbol
_atom_site_fract_x
_atom_site_fract_y
_atom_site_fract_z
_atom_site_occupancy
Ce1 Ce 0.174 0.326 0.000 1
Ce2 Ce 0.326 0.826 0.000 1
Ce3 Ce 0.674 0.174 0.000 1
Ce4 Ce 0.826 0.674 0.000 1
Nd1 Nd 0.000 0.000 0.500 1
Nd2 Nd 0.500 0.500 0.500 1
Ge1 Ge 0.122 0.622 0.500 1
Ge2 Ge 0.378 0.122 0.500 1
Ge3 Ge 0.622 0.878 0.500 1
Ge4 Ge 0.878 0.378 0.500 1
```

---

Record 2
Material: Li2HfPbO
Method: DFT, PBE
State: relaxed

Calculated values
Symmetry = P4/mmm
Raw formation energy = -1.21 eV/atom

Structure (CIF):
```
data_Li2HfPbO
_chemical_formula_sum 'Li2 Hf1 Pb1 O1'
_space_group_name_H-M_alt 'P 1'
_space_group_IT_number 1
_cell_length_a 4.246
_cell_length_b 4.246
_cell_length_c 4.291
_cell_angle_alpha 90.00
_cell_angle_beta 90.00
_cell_angle_gamma 90.00
loop_
_space_group_symop_operation_xyz
'x,y,z'
loop_
_atom_site_label
_atom_site_type_symbol
_atom_site_fract_x
_atom_site_fract_y
_atom_site_fract_z
_atom_site_occupancy
Li1 Li 0.000 0.500 0.000 1
Li2 Li 0.500 0.000 0.000 1
Hf1 Hf 0.000 0.000 0.500 1
Pb1 Pb 0.500 0.500 0.500 1
O1 O 0.000 0.000 0.000 1
```

---

Record 3
Material: TiTlIN2
Method: DFT, PBE
State: relaxed

Calculated values
Symmetry = P4/mmm
Raw formation energy = 0.43 eV/atom

Structure (CIF):
```
data_TiTlIN2
_chemical_formula_sum 'Ti1 Tl1 I1 N2'
_space_group_name_H-M_alt 'P 1'
_space_group_IT_number 1
_cell_length_a 4.166
_cell_length_b 4.166
_cell_length_c 5.819
_cell_angle_alpha 90.00
_cell_angle_beta 90.00
_cell_angle_gamma 90.00
loop_
_space_group_symop_operation_xyz
'x,y,z'
loop_
_atom_site_label
_atom_site_type_symbol
_atom_site_fract_x
_atom_site_fract_y
_atom_site_fract_z
_atom_site_occupancy
Ti1 Ti 0.000 0.000 0.000 1
Tl1 Tl 0.500 0.500 0.500 1
I1 I 0.000 0.000 0.500 1
N1 N 0.000 0.500 0.000 1
N2 N 0.500 0.000 0.000 1
```

---

Record 4
Material: Tb3Er2Mg6
Method: DFT, PBE
State: relaxed

Calculated values
Symmetry = I4/mmm
Formation energy = 0.173 eV per atom

Structure (CIF):
```
data_Tb3Er2Mg6
_chemical_formula_sum 'Tb3 Er2 Mg6'
_space_group_name_H-M_alt 'P 1'
_space_group_IT_number 1
_cell_length_a 16.255
_cell_length_b 16.255
_cell_length_c 16.255
_cell_angle_alpha 164.24
_cell_angle_beta 164.24
_cell_angle_gamma 22.36
loop_
_space_group_symop_operation_xyz
'x,y,z'
loop_
_atom_site_label
_atom_site_type_symbol
_atom_site_fract_x
_atom_site_fract_y
_atom_site_fract_z
_atom_site_occupancy
Tb1 Tb 0.000 0.000 0.000 1
Tb2 Tb 0.213 0.213 0.000 1
Tb3 Tb 0.787 0.787 0.000 1
Er1 Er 0.451 0.451 0.000 1
Er2 Er 0.549 0.549 0.000 1
Mg1 Mg 0.122 0.622 0.500 1
Mg2 Mg 0.315 0.315 0.000 1
Mg3 Mg 0.378 0.878 0.500 1
Mg4 Mg 0.622 0.122 0.500 1
Mg5 Mg 0.685 0.685 0.000 1
Mg6 Mg 0.878 0.378 0.500 1
```

---

Record 5
Material: Be2VCr
Method: DFT, PBE
State: relaxed

Calculated values
Symmetry = Fm-3m
Formation energy = 0.093 eV per atom

Structure (CIF):
```
data_Be2VCr
_chemical_formula_sum 'Be2 V1 Cr1'
_space_group_name_H-M_alt 'P 1'
_space_group_IT_number 1
_cell_length_a 3.913
_cell_length_b 3.913
_cell_length_c 3.913
_cell_angle_alpha 60.00
_cell_angle_beta 60.00
_cell_angle_gamma 60.00
loop_
_space_group_symop_operation_xyz
'x,y,z'
loop_
_atom_site_label
_atom_site_type_symbol
_atom_site_fract_x
_atom_site_fract_y
_atom_site_fract_z
_atom_site_occupancy
Be1 Be 0.250 0.250 0.250 1
Be2 Be 0.750 0.750 0.750 1
V1 V 0.000 0.000 0.000 1
Cr1 Cr 0.500 0.500 0.500 1
```

---

Record 6
Material: NdAlCl
Method: DFT, PBE
State: relaxed

Calculated values
Symmetry = R-3m
Raw formation energy = -1.25 eV/atom

Structure (CIF):
```
data_NdAlCl
_chemical_formula_sum 'Nd2 Al2 Cl2'
_space_group_name_H-M_alt 'P 1'
_space_group_IT_number 1
_cell_length_a 11.162
_cell_length_b 11.162
_cell_length_c 11.162
_cell_angle_alpha 22.10
_cell_angle_beta 22.10
_cell_angle_gamma 22.10
loop_
_space_group_symop_operation_xyz
'x,y,z'
loop_
_atom_site_label
_atom_site_type_symbol
_atom_site_fract_x
_atom_site_fract_y
_atom_site_fract_z
_atom_site_occupancy
Nd1 Nd 0.067 0.067 0.067 1
Nd2 Nd 0.933 0.933 0.933 1
Al1 Al 0.340 0.340 0.340 1
Al2 Al 0.660 0.660 0.660 1
Cl1 Cl 0.218 0.218 0.218 1
Cl2 Cl 0.782 0.782 0.782 1
```

---

Record 7
Material: KMg2As
Method: DFT, PBE
State: relaxed

Calculated values
Symmetry = P4mm
Formation energy = -0.177 eV per atom

Structure (CIF):
```
data_KMg2As
_chemical_formula_sum 'K1 Mg2 As1'
_space_group_name_H-M_alt 'P 1'
_space_group_IT_number 1
_cell_length_a 3.755
_cell_length_b 3.755
_cell_length_c 8.066
_cell_angle_alpha 90.00
_cell_angle_beta 90.00
_cell_angle_gamma 90.00
loop_
_space_group_symop_operation_xyz
'x,y,z'
loop_
_atom_site_label
_atom_site_type_symbol
_atom_site_fract_x
_atom_site_fract_y
_atom_site_fract_z
_atom_site_occupancy
K1 K 0.000 0.000 0.000 1
Mg1 Mg 0.000 0.000 0.591 1
Mg2 Mg 0.500 0.500 0.359 1
As1 As 0.500 0.500 0.696 1
```

---

Record 8
Material: CsBiRh3
Method: DFT, PBE
State: relaxed

Calculated values
Symmetry = Pm-3m
Formation energy = 0.892 eV per atom

Structure (CIF):
```
data_CsBiRh3
_chemical_formula_sum 'Cs1 Bi1 Rh3'
_space_group_name_H-M_alt 'P 1'
_space_group_IT_number 1
_cell_length_a 5.158
_cell_length_b 5.158
_cell_length_c 5.158
_cell_angle_alpha 90.00
_cell_angle_beta 90.00
_cell_angle_gamma 90.00
loop_
_space_group_symop_operation_xyz
'x,y,z'
loop_
_atom_site_label
_atom_site_type_symbol
_atom_site_fract_x
_atom_site_fract_y
_atom_site_fract_z
_atom_site_occupancy
Cs1 Cs 0.000 0.000 0.000 1
Bi1 Bi 0.500 0.500 0.500 1
Rh1 Rh 0.000 0.500 0.500 1
Rh2 Rh 0.500 0.000 0.500 1
Rh3 Rh 0.500 0.500 0.000 1
```

---

Record 9
Material: KTc2As
Method: DFT, PBE
State: relaxed

Calculated values
Symmetry = I4_1/amd
Formation energy = 0.799 eV per atom

Structure (CIF):
```
data_KTc2As
_chemical_formula_sum 'K2 Tc4 As2'
_space_group_name_H-M_alt 'P 1'
_space_group_IT_number 1
_cell_length_a 9.483
_cell_length_b 9.483
_cell_length_c 9.483
_cell_angle_alpha 150.64
_cell_angle_beta 150.64
_cell_angle_gamma 42.00
loop_
_space_group_symop_operation_xyz
'x,y,z'
loop_
_atom_site_label
_atom_site_type_symbol
_atom_site_fract_x
_atom_site_fract_y
_atom_site_fract_z
_atom_site_occupancy
K1 K 0.375 0.625 0.750 1
K2 K 0.625 0.375 0.250 1
Tc1 Tc 0.000 0.000 0.000 1
Tc2 Tc 0.000 0.000 0.500 1
Tc3 Tc 0.000 0.500 0.000 1
Tc4 Tc 0.500 0.000 0.500 1
As1 As 0.125 0.875 0.250 1
As2 As 0.875 0.125 0.750 1
```

---

Record 10
Material: FeRuPb2
Method: DFT, PBE
State: relaxed

Calculated values
Symmetry = Amm2
Formation energy = 0.415 eV per atom

Structure (CIF):
```
data_FeRuPb2
_chemical_formula_sum 'Fe1 Ru1 Pb2'
_space_group_name_H-M_alt 'P 1'
_space_group_IT_number 1
_cell_length_a 4.244
_cell_length_b 5.449
_cell_length_c 5.449
_cell_angle_alpha 39.97
_cell_angle_beta 90.00
_cell_angle_gamma 90.00
loop_
_space_group_symop_operation_xyz
'x,y,z'
loop_
_atom_site_label
_atom_site_type_symbol
_atom_site_fract_x
_atom_site_fract_y
_atom_site_fract_z
_atom_site_occupancy
Fe1 Fe 0.000 0.000 0.000 1
Ru1 Ru 0.500 0.871 0.871 1
Pb1 Pb 0.000 0.283 0.283 1
Pb2 Pb 0.500 0.584 0.584 1
```

---

Record 11
Material: Er3Zn9Si2
Method: DFT, PBE
State: relaxed

Calculated values
Symmetry = Immm
Raw formation energy = -0.32 eV/atom

Structure (CIF):
```
data_Er3Zn9Si2
_chemical_formula_sum 'Er3 Zn9 Si2'
_space_group_name_H-M_alt 'P 1'
_space_group_IT_number 1
_cell_length_a 7.988
_cell_length_b 7.988
_cell_length_c 7.988
_cell_angle_alpha 149.26
_cell_angle_beta 105.80
_cell_angle_gamma 82.43
loop_
_space_group_symop_operation_xyz
'x,y,z'
loop_
_atom_site_label
_atom_site_type_symbol
_atom_site_fract_x
_atom_site_fract_y
_atom_site_fract_z
_atom_site_occupancy
Er1 Er 0.000 0.000 0.000 1
Er2 Er 0.311 0.311 0.000 1
Er3 Er 0.689 0.689 0.000 1
Zn1 Zn 0.032 0.660 0.372 1
Zn2 Zn 0.135 0.861 0.274 1
Zn3 Zn 0.289 0.660 0.628 1
Zn4 Zn 0.413 0.139 0.274 1
Zn5 Zn 0.500 0.000 0.500 1
Zn6 Zn 0.587 0.861 0.726 1
Zn7 Zn 0.711 0.340 0.372 1
Zn8 Zn 0.865 0.139 0.726 1
Zn9 Zn 0.968 0.340 0.628 1
Si1 Si 0.293 0.500 0.793 1
Si2 Si 0.707 0.500 0.207 1
```

---

Record 12
Material: Y2Er2Tl7
Method: DFT, PBE
State: relaxed

Calculated values
Symmetry = C2/m
Formation energy = -0.099 eV per atom

Structure (CIF):
```
data_Y2Er2Tl7
_chemical_formula_sum 'Y2 Er2 Tl7'
_space_group_name_H-M_alt 'P 1'
_space_group_IT_number 1
_cell_length_a 7.905
_cell_length_b 7.905
_cell_length_c 5.214
_cell_angle_alpha 97.08
_cell_angle_beta 97.08
_cell_angle_gamma 85.43
loop_
_space_group_symop_operation_xyz
'x,y,z'
loop_
_atom_site_label
_atom_site_type_symbol
_atom_site_fract_x
_atom_site_fract_y
_atom_site_fract_z
_atom_site_occupancy
Y1 Y 0.204 0.796 0.000 1
Y2 Y 0.796 0.204 0.000 1
Er1 Er 0.266 0.266 0.205 1
Er2 Er 0.734 0.734 0.795 1
Tl1 Tl 0.000 0.000 0.500 1
Tl2 Tl 0.031 0.397 0.718 1
Tl3 Tl 0.397 0.031 0.718 1
Tl4 Tl 0.435 0.435 0.733 1
Tl5 Tl 0.565 0.565 0.267 1
Tl6 Tl 0.603 0.969 0.282 1
Tl7 Tl 0.969 0.603 0.282 1
```